PmPu5Sn6 after structural relaxation, computed with GGA-PBE.

a b c (Å): 8.889 8.889 8.889
angles (deg): 148.38 118.81 70.52
Positions (direct):
Pm 0.000 0.000 0.000
Pu 0.170 0.670 0.500
Pu 0.338 0.338 0.000
Pu 0.500 0.000 0.500
Pu 0.662 0.662 0.000
Pu 0.830 0.330 0.500
Sn 0.081 0.832 0.249
Sn 0.249 0.500 0.749
Sn 0.417 0.168 0.249
Sn 0.583 0.832 0.751
Sn 0.751 0.500 0.251
Sn 0.919 0.168 0.751

Values from the calculation:
- Size of the total moment: 5.460 μB/f.u.
- Symmetry: No. 71
- Energy of formation from the pure elements: -0.38 eV per atom


ScTlTe2 after structural relaxation, computed with GGA-PBE.

a b c (Å): 7.639 7.639 7.639
angles (deg): 90.00 90.00 90.00
Positions (direct):
Sc 0.000 0.000 0.000
Sc 0.000 0.500 0.500
Sc 0.500 0.000 0.500
Sc 0.500 0.500 0.000
Tl 0.250 0.250 0.250
Tl 0.250 0.750 0.750
Tl 0.750 0.250 0.750
Tl 0.750 0.750 0.250
Te 0.000 0.000 0.500
Te 0.000 0.500 0.000
Te 0.250 0.250 0.750
Te 0.250 0.750 0.250
Te 0.500 0.000 0.000
Te 0.500 0.500 0.500
Te 0.750 0.250 0.250
Te 0.750 0.750 0.750

Values from the calculation:
- Size of the total moment: 0.000 μB/f.u.
- Symmetry: No. 216
- Total DFT energy (no corrections): -3.86 eV per atom


Hg2SbSe after structural relaxation, computed with GGA-PBE.

a b c (Å): 5.804 13.357 2.949
angles (deg): 90.00 90.00 90.00
Positions (direct):
Hg 0.250 0.250 0.000
Hg 0.250 0.750 0.000
Hg 0.750 0.250 0.000
Hg 0.750 0.750 0.000
Sb 0.000 0.000 0.500
Sb 0.500 0.500 0.500
Se 0.000 0.500 0.500
Se 0.500 0.000 0.500

Values from the calculation:
- Size of the total moment: 0.000 μB/f.u.
- Symmetry: No. 65
- Total DFT energy (no corrections): -1.94 eV per atom


In2OsRh after structural relaxation, computed with GGA-PBE.

a b c (Å): 6.480 6.480 6.480
angles (deg): 90.00 90.00 90.00
Positions (direct):
In 0.250 0.250 0.250
In 0.250 0.250 0.750
In 0.250 0.750 0.250
In 0.250 0.750 0.750
In 0.750 0.250 0.250
In 0.750 0.250 0.750
In 0.750 0.750 0.250
In 0.750 0.750 0.750
Os 0.000 0.000 0.000
Os 0.000 0.500 0.500
Os 0.500 0.000 0.500
Os 0.500 0.500 0.000
Rh 0.000 0.000 0.500
Rh 0.000 0.500 0.000
Rh 0.500 0.000 0.000
Rh 0.500 0.500 0.500

Values from the calculation:
- Size of the total moment: 0.000 μB/f.u.
- Symmetry: No. 225
- Energy relative to the lowest polymorph listed for this composition: 14 meV/atom
- Energy of formation from the pure elements: 0.08 eV per atom


Y2TaAu after structural relaxation, computed with GGA-PBE.

a b c (Å): 7.100 7.100 7.100
angles (deg): 90.00 90.00 90.00
Positions (direct):
Y 0.000 0.000 0.000
Y 0.000 0.500 0.500
Y 0.250 0.250 0.250
Y 0.250 0.750 0.750
Y 0.500 0.000 0.500
Y 0.500 0.500 0.000
Y 0.750 0.250 0.750
Y 0.750 0.750 0.250
Ta 0.250 0.250 0.750
Ta 0.250 0.750 0.250
Ta 0.750 0.250 0.250
Ta 0.750 0.750 0.750
Au 0.000 0.000 0.500
Au 0.000 0.500 0.000
Au 0.500 0.000 0.000
Au 0.500 0.500 0.500

Values from the calculation:
- Size of the total moment: 0.368 μB/f.u.
- Symmetry: No. 216
- Energy relative to the lowest polymorph listed for this composition: 403 meV/atom
- Energy of formation from the pure elements: 0.24 eV per atom


PuHfReNi after structural relaxation, computed with GGA-PBE.

a b c (Å): 6.598 6.598 6.598
angles (deg): 90.00 90.00 90.00
Positions (direct):
Pu 0.000 0.000 0.000
Pu 0.000 0.500 0.500
Pu 0.500 0.000 0.500
Pu 0.500 0.500 0.000
Hf 0.000 0.000 0.500
Hf 0.000 0.500 0.000
Hf 0.500 0.000 0.000
Hf 0.500 0.500 0.500
Re 0.250 0.250 0.250
Re 0.250 0.750 0.750
Re 0.750 0.250 0.750
Re 0.750 0.750 0.250
Ni 0.250 0.250 0.750
Ni 0.250 0.750 0.250
Ni 0.750 0.250 0.250
Ni 0.750 0.750 0.750

Values from the calculation:
- Size of the total moment: 4.597 μB/f.u.
- Symmetry: No. 216
- Energy of formation from the pure elements: -0.10 eV per atom


GdErThZr after structural relaxation, computed with GGA-PBE.

a b c (Å): 7.750 7.750 7.750
angles (deg): 90.00 90.00 90.00
Positions (direct):
Gd 0.000 0.000 0.000
Gd 0.000 0.500 0.500
Gd 0.500 0.000 0.500
Gd 0.500 0.500 0.000
Er 0.250 0.250 0.750
Er 0.250 0.750 0.250
Er 0.750 0.250 0.250
Er 0.750 0.750 0.750
Th 0.000 0.000 0.500
Th 0.000 0.500 0.000
Th 0.500 0.000 0.000
Th 0.500 0.500 0.500
Zr 0.250 0.250 0.250
Zr 0.250 0.750 0.750
Zr 0.750 0.250 0.750
Zr 0.750 0.750 0.250

Values from the calculation:
- Size of the total moment: 7.819 μB/f.u.
- Symmetry: No. 216
- Energy of formation from the pure elements: 0.16 eV per atom


NaErRu2O8 after structural relaxation, computed with GGA-PBE.

a b c (Å): 6.812 6.812 6.812
angles (deg): 135.19 135.19 65.23
Positions (direct):
Na 0.000 0.000 0.000
Er 0.750 0.250 0.500
Ru 0.250 0.750 0.500
Ru 0.500 0.500 0.000
O 0.006 0.923 0.586
O 0.077 0.663 0.083
O 0.163 0.267 0.605
O 0.337 0.420 0.414
O 0.443 0.837 0.104
O 0.580 0.994 0.917
O 0.662 0.557 0.395
O 0.733 0.338 0.896

Values from the calculation:
- Size of the total moment: 3.279 μB/f.u.
- Symmetry: No. 82
- Total DFT energy (no corrections): -6.80 eV per atom


Hf2P2O9 after structural relaxation, computed with GGA-PBE.

a b c (Å): 7.675 7.675 10.227
angles (deg): 127.10 127.10 51.03
Positions (direct):
Hf 0.057 0.057 0.404
Hf 0.315 0.315 0.864
Hf 0.685 0.685 0.136
Hf 0.943 0.943 0.596
P 0.170 0.170 0.039
P 0.407 0.407 0.665
P 0.593 0.593 0.335
P 0.830 0.830 0.961
O 0.006 0.625 0.862
O 0.033 0.033 0.853
O 0.114 0.114 0.656
O 0.239 0.618 0.604
O 0.266 0.266 0.599
O 0.273 0.273 0.022
O 0.375 0.994 0.138
O 0.382 0.761 0.396
O 0.484 0.484 0.868
O 0.516 0.516 0.132
O 0.618 0.239 0.604
O 0.625 0.006 0.862
O 0.727 0.727 0.978
O 0.734 0.734 0.401
O 0.761 0.382 0.396
O 0.886 0.886 0.344
O 0.967 0.967 0.147
O 0.994 0.375 0.138

Values from the calculation:
- Size of the total moment: 0.000 μB/f.u.
- Symmetry: No. 12
- Energy relative to the lowest polymorph listed for this composition: 0 meV/atom


Hg2IrPt after structural relaxation, computed with GGA-PBE.

a b c (Å): 6.586 6.586 6.586
angles (deg): 90.00 90.00 90.00
Positions (direct):
Hg 0.250 0.250 0.250
Hg 0.250 0.250 0.750
Hg 0.250 0.750 0.250
Hg 0.250 0.750 0.750
Hg 0.750 0.250 0.250
Hg 0.750 0.250 0.750
Hg 0.750 0.750 0.250
Hg 0.750 0.750 0.750
Ir 0.000 0.000 0.000
Ir 0.000 0.500 0.500
Ir 0.500 0.000 0.500
Ir 0.500 0.500 0.000
Pt 0.000 0.000 0.500
Pt 0.000 0.500 0.000
Pt 0.500 0.000 0.000
Pt 0.500 0.500 0.500

Values from the calculation:
- Size of the total moment: 0.000 μB/f.u.
- Symmetry: No. 225
- Energy relative to the lowest polymorph listed for this composition: 57 meV/atom
- Energy of formation from the pure elements: 0.38 eV per atom


Sr3Pt4Pb7 after structural relaxation, computed with GGA-PBE.

a b c (Å): 9.275 9.275 10.574
angles (deg): 122.42 122.42 29.65
Positions (direct):
Sr 0.000 0.000 0.000
Sr 0.312 0.312 0.302
Sr 0.688 0.688 0.698
Pt 0.123 0.123 0.852
Pt 0.337 0.337 0.721
Pt 0.663 0.663 0.279
Pt 0.877 0.877 0.148
Pb 0.000 0.000 0.500
Pb 0.165 0.165 0.428
Pb 0.314 0.314 0.961
Pb 0.497 0.497 0.722
Pb 0.503 0.503 0.278
Pb 0.686 0.686 0.039
Pb 0.835 0.835 0.572

Values from the calculation:
- Size of the total moment: 0.000 μB/f.u.
- Symmetry: No. 12
- Energy of formation from the pure elements: -0.47 eV per atom


CdNiBr after structural relaxation, computed with GGA-PBE.

a b c (Å): 6.479 6.479 6.479
angles (deg): 90.00 90.00 90.00
Positions (direct):
Cd 0.000 0.000 0.000
Cd 0.000 0.500 0.500
Cd 0.500 0.000 0.500
Cd 0.500 0.500 0.000
Ni 0.000 0.000 0.500
Ni 0.000 0.500 0.000
Ni 0.500 0.000 0.000
Ni 0.500 0.500 0.500
Br 0.250 0.250 0.750
Br 0.250 0.750 0.250
Br 0.750 0.250 0.250
Br 0.750 0.750 0.750

Values from the calculation:
- Size of the total moment: 0.097 μB/f.u.
- Symmetry: No. 216
- Energy relative to the lowest polymorph listed for this composition: 597 meV/atom


ScTePb2 after structural relaxation, computed with GGA-PBE.

a b c (Å): 3.465 3.465 9.387
angles (deg): 90.00 90.00 90.00
Positions (direct):
Sc 0.000 0.000 0.000
Te 0.000 0.000 0.500
Pb 0.500 0.500 0.223
Pb 0.500 0.500 0.777

Values from the calculation:
- Size of the total moment: 0.035 μB/f.u.
- Symmetry: No. 123
- Total DFT energy (no corrections): -4.22 eV per atom


PuScP2N6 after structural relaxation, computed with GGA-PBE.

a b c (Å): 6.903 6.903 5.539
angles (deg): 105.09 105.09 83.00
Positions (direct):
Pu 0.103 0.897 0.750
Pu 0.897 0.103 0.250
Sc 0.301 0.699 0.250
Sc 0.699 0.301 0.750
P 0.210 0.375 0.790
P 0.375 0.210 0.290
P 0.625 0.790 0.710
P 0.790 0.625 0.210
N 0.019 0.228 0.670
N 0.148 0.615 0.840
N 0.228 0.019 0.170
N 0.320 0.366 0.094
N 0.366 0.320 0.594
N 0.385 0.852 0.660
N 0.615 0.148 0.340
N 0.634 0.680 0.406
N 0.680 0.634 0.906
N 0.772 0.981 0.830
N 0.852 0.385 0.160
N 0.981 0.772 0.330

Values from the calculation:
- Size of the total moment: 3.000 μB/f.u.
- Symmetry: No. 15
- Total DFT energy (no corrections): -8.95 eV per atom


Ca2BeIr2 after structural relaxation, computed with GGA-PBE.

a b c (Å): 5.530 5.530 7.317
angles (deg): 99.05 99.05 62.43
Positions (direct):
Ca 0.021 0.279 0.147
Ca 0.279 0.021 0.647
Ca 0.721 0.979 0.353
Ca 0.979 0.721 0.853
Be 0.436 0.564 0.250
Be 0.564 0.436 0.750
Ir 0.238 0.506 0.491
Ir 0.494 0.762 0.009
Ir 0.506 0.238 0.991
Ir 0.762 0.494 0.509

Values from the calculation:
- Size of the total moment: 0.003 μB/f.u.
- Symmetry: No. 15
- Energy relative to the lowest polymorph listed for this composition: 10 meV/atom
- Energy of formation from the pure elements: -0.39 eV per atom


SrLaGe2 after structural relaxation, computed with GGA-PBE.

a b c (Å): 3.535 3.535 8.626
angles (deg): 90.00 90.00 90.00
Positions (direct):
Sr 0.000 0.000 0.000
La 0.000 0.000 0.500
Ge 0.500 0.500 0.257
Ge 0.500 0.500 0.743

Values from the calculation:
- Size of the total moment: 0.000 μB/f.u.
- Symmetry: No. 123
- Energy of formation from the pure elements: -0.56 eV per atom


RbBaBi3 after structural relaxation, computed with GGA-PBE.

a b c (Å): 6.498 6.498 6.498
angles (deg): 90.00 90.00 90.00
Positions (direct):
Rb 0.000 0.000 0.000
Ba 0.500 0.500 0.500
Bi 0.000 0.500 0.500
Bi 0.500 0.000 0.500
Bi 0.500 0.500 0.000

Values from the calculation:
- Size of the total moment: 0.000 μB/f.u.
- Symmetry: No. 221
- Energy relative to the lowest polymorph listed for this composition: 0 meV/atom
- Energy of formation from the pure elements: 0.26 eV per atom


NdMnB14 after structural relaxation, computed with GGA-PBE.

a b c (Å): 7.433 7.433 7.433
angles (deg): 133.57 86.43 111.90
Positions (direct):
Nd 0.378 0.128 0.250
Nd 0.622 0.872 0.750
Mn 0.000 0.000 0.500
Mn 0.000 0.500 0.000
B 0.006 0.134 0.873
B 0.029 0.204 0.328
B 0.029 0.701 0.825
B 0.085 0.668 0.417
B 0.197 0.531 0.666
B 0.220 0.500 0.400
B 0.220 0.820 0.720
B 0.239 0.866 0.373
B 0.248 0.332 0.917
B 0.365 0.531 0.834
B 0.375 0.204 0.675
B 0.375 0.701 0.172
B 0.400 0.180 0.900
B 0.400 0.500 0.220
B 0.600 0.500 0.780
B 0.600 0.820 0.100
B 0.625 0.299 0.828
B 0.625 0.796 0.325
B 0.635 0.469 0.166
B 0.752 0.668 0.083
B 0.761 0.134 0.627
B 0.780 0.180 0.280
B 0.780 0.500 0.600
B 0.803 0.469 0.334
B 0.915 0.332 0.583
B 0.971 0.299 0.175
B 0.971 0.796 0.672
B 0.994 0.866 0.127

Values from the calculation:
- Size of the total moment: 3.738 μB/f.u.
- Symmetry: No. 74
- Energy of formation from the pure elements: -0.16 eV per atom


FeNi6Ru after structural relaxation, computed with GGA-PBE.

a b c (Å): 4.735 4.736 6.514
angles (deg): 71.60 89.30 60.40
Positions (direct):
Fe 0.000 0.000 0.000
Ni 0.071 0.362 0.192
Ni 0.415 0.645 0.810
Ni 0.421 0.157 0.814
Ni 0.579 0.843 0.186
Ni 0.585 0.355 0.190
Ni 0.929 0.638 0.808
Ru 0.500 0.000 0.500

Values from the calculation:
- Size of the total moment: 6.507 μB/f.u.
- Symmetry: No. 2
- Energy relative to the lowest polymorph listed for this composition: 644 meV/atom
- Energy of formation from the pure elements: 0.68 eV per atom


DyGeRuRh after structural relaxation, computed with GGA-PBE.

a b c (Å): 6.424 6.424 6.424
angles (deg): 90.00 90.00 90.00
Positions (direct):
Dy 0.000 0.000 0.000
Dy 0.000 0.500 0.500
Dy 0.500 0.000 0.500
Dy 0.500 0.500 0.000
Ge 0.000 0.000 0.500
Ge 0.000 0.500 0.000
Ge 0.500 0.000 0.000
Ge 0.500 0.500 0.500
Ru 0.250 0.250 0.750
Ru 0.250 0.750 0.250
Ru 0.750 0.250 0.250
Ru 0.750 0.750 0.750
Rh 0.250 0.250 0.250
Rh 0.250 0.750 0.750
Rh 0.750 0.250 0.750
Rh 0.750 0.750 0.250

Values from the calculation:
- Size of the total moment: 0.000 μB/f.u.
- Symmetry: No. 216
- Energy of formation from the pure elements: -0.57 eV per atom